[1]
The following is a DFT calculation (PBEsol) of MgSc2Co after structural relaxation.

a = 3.327 Å, b = 3.746 Å, c = 6.732 Å
α = 106.16°, β = 90.00°, γ = 90.00°
Fractional coordinates of all 4 atoms:
Co (0.000, 0.733, 0.466)
Mg (0.500, 0.571, 0.141)
Sc (0.000, 0.920, 0.840)
Sc (0.500, 0.263, 0.526)

Calculated values
Space group: No. 38
Formation energy from the elements, eV per atom: -0.03

---

[2]
The following is a DFT calculation (PBEsol) of MoIr2 after structural relaxation.

a = 4.358 Å, b = 4.759 Å, c = 8.288 Å
α = 90.00°, β = 90.00°, γ = 90.00°
Fractional coordinates of all 12 atoms:
Ir (0.750, 0.840, 0.829)
Ir (0.750, 0.833, 0.495)
Ir (0.250, 0.667, 0.995)
Ir (0.250, 0.660, 0.329)
Ir (0.750, 0.340, 0.671)
Ir (0.750, 0.333, 0.005)
Ir (0.250, 0.167, 0.505)
Ir (0.250, 0.160, 0.171)
Mo (0.750, 0.831, 0.159)
Mo (0.250, 0.669, 0.659)
Mo (0.750, 0.331, 0.341)
Mo (0.250, 0.169, 0.841)

Calculated values
Space group: No. 62
Formation energy from the elements, eV per atom: -0.36

---

[3]
The following is a DFT calculation (PBEsol) of Be2SeCl after structural relaxation.

a = 3.457 Å, b = 3.540 Å, c = 6.243 Å
α = 106.20°, β = 90.00°, γ = 90.00°
Fractional coordinates of all 4 atoms:
Be (0.000, 0.868, 0.115)
Be (0.500, 0.347, 0.074)
Se (0.500, 0.751, 0.878)
Cl (0.000, 0.035, 0.434)

Calculated values
Space group: No. 6
Polymorph energy (0 for the lowest one), kJ/mol of formula units: 0
Formation energy (no corrections), eV/atom: -0.3174

---

Number 1: total magnetization 0.00 Bohr magnetons per cell. Number 2: total magnetization 0.00 Bohr magnetons per cell. Number 3: total magnetization 0.00 Bohr magnetons per cell.